This record from Alexandria describes a PBEsol-optimized structure of ErAl9Ni3. The functional is meta-GGA SCAN.

abc: 10.0433 10.0433 10.0433
angles: 42.46 42.46 42.46
Last column: nearest neighbours and their distance in Å.
Positions (direct):
Er 0.1669 0.1669 0.1669  11 Al 2.98-3.15, 6 Ni 3.27-3.28
Er 0.8331 0.8331 0.8331  11 Al 2.98-3.15, 6 Ni 3.27-3.28
Al 0.0000 0.6661 0.3339  2 Ni 2.33
Al 0.0519 0.0519 0.0519  3 Ni 2.57, 7 Al 2.76-2.84
Al 0.1027 0.4329 0.7631  3 Ni 2.43-2.47, 1 Al 2.71
Al 0.2369 0.5671 0.8973  3 Ni 2.43-2.47, 1 Al 2.71
Al 0.2820 0.2820 0.2820  3 Ni 2.57, 7 Al 2.77-2.87
Al 0.2908 0.7092 0.5000  2 Ni 2.43, 2 Al 2.64
Al 0.3339 0.0000 0.6661  2 Ni 2.33
Al 0.3869 0.3869 0.3869  3 Ni 2.62, 7 Al 2.71-2.87
Al 0.4329 0.7631 0.1027  3 Ni 2.43-2.47, 1 Al 2.71
Al 0.5000 0.2908 0.7092  2 Ni 2.43, 2 Al 2.64
Al 0.5671 0.8973 0.2369  3 Ni 2.43-2.47, 1 Al 2.71
Al 0.6131 0.6131 0.6131  3 Ni 2.62, 7 Al 2.71-2.87
Al 0.6661 0.3339 0.0000  2 Ni 2.33
Al 0.7092 0.5000 0.2908  2 Ni 2.43, 2 Al 2.64
Al 0.7180 0.7180 0.7180  3 Ni 2.57, 7 Al 2.77-2.87
Al 0.7631 0.1027 0.4329  3 Ni 2.43-2.47, 1 Al 2.71
Al 0.8973 0.2369 0.5671  3 Ni 2.43-2.47, 1 Al 2.71
Al 0.9481 0.9481 0.9481  3 Ni 2.57, 7 Al 2.76-2.84
Ni 0.0785 0.7585 0.4184  7 Al 2.33-2.57
Ni 0.2415 0.9215 0.5816  7 Al 2.33-2.57
Ni 0.4184 0.0785 0.7585  7 Al 2.33-2.57
Ni 0.5816 0.2415 0.9215  7 Al 2.33-2.57
Ni 0.7585 0.4184 0.0785  7 Al 2.33-2.57
Ni 0.9215 0.5816 0.2415  7 Al 2.33-2.57

* total moment: 0.000 μB per atom
* calculated density: 4.66 g/cm³
* crystal system: trigonal
* total energy: -13.55 eV per atom
* energy of formation: -0.57 eV/atom